A plane-wave DFT calculation with PBE with a Hubbard U was carried out for an optimized crystal structure of TlCu2MoF8.

a b c (Å): 5.226 5.226 7.944
angles (deg): 74.26 74.26 76.06
Site moments in Bohr magnetons follow the coordinates.
Fractional coordinates of all 12 atoms:
1 F 0.751 0.180 0.189  0.01
2 F 0.820 0.249 0.811  0.01
3 F 0.180 0.751 0.189  0.01
4 F 0.343 0.343 0.507  0.06
5 F 0.737 0.737 0.060  0.05
6 F 0.249 0.820 0.811  0.01
7 F 0.263 0.263 0.940  0.05
8 F 0.657 0.657 0.493  0.06
9 Cu 0.549 0.549 0.291  0.40
10 Cu 0.451 0.451 0.709  0.40
11 Tl 0.000 0.000 0.500  0.00
12 Mo 0.000 0.000 0.000  1.89

Output
For the final energy, the calculation gives -55.44 eV/cell.